[1]
ZrZn2Hg2 | PBE | optimized geometry

POSCAR file:
```
ZrZn2Hg2
1.0
-1.5540 -1.3257 -7.6230
-3.3531 -6.8918 1.8821
-2.8233 1.4614 0.3214
Zn Hg Zr
4 4 2
Cartesian
-3.9228 -4.1129 0.1253
-5.2358 -5.8773 -3.3853
-3.8076 -2.6433 -5.5449
-2.4946 -0.8789 -2.0342
-3.4751 -6.4577 -1.1630
-3.4707 -5.5147 -5.4131
-1.4320 -1.7598 -4.5779
-1.4364 -2.7029 -0.3278
0.0000 0.0000 0.0000
-2.4536 -4.1088 -2.8705
```

Space group   No. 127
Formation enthalpy at 0 K   0.097 eV/atom
Total magnetic moment   0.0 μB per cell
Energy above the lowest structure with this stoichiometry   55 meV per atom
DOS(E_F)   4.45 states/eV/cell

***

[2]
ZrZnHg2 | PBE | optimized geometry

POSCAR file:
```
ZrZnHg2
1.0
-0.9148 4.3537 -1.9575
-2.5652 0.3236 -4.1156
-4.5129 1.8028 0.0846
Hg Zn Zr
2 1 1
Cartesian
0.0000 0.0000 0.0000
-1.9982 1.6200 -1.4971
-3.9964 3.2401 -2.9942
-5.9947 4.8601 -4.4913
```

Space group   No. 216
Formation enthalpy at 0 K   0.066 eV/atom
Total magnetic moment   0.0 μB per cell
DOS(E_F)   2.06 states/eV/cell

***

Please write out number 1 again, unchanged.
ZrZn2Hg2 | PBE | optimized geometry

POSCAR file:
```
ZrZn2Hg2
1.0
-1.5540 -1.3257 -7.6230
-3.3531 -6.8918 1.8821
-2.8233 1.4614 0.3214
Zn Hg Zr
4 4 2
Cartesian
-3.9228 -4.1129 0.1253
-5.2358 -5.8773 -3.3853
-3.8076 -2.6433 -5.5449
-2.4946 -0.8789 -2.0342
-3.4751 -6.4577 -1.1630
-3.4707 -5.5147 -5.4131
-1.4320 -1.7598 -4.5779
-1.4364 -2.7029 -0.3278
0.0000 0.0000 0.0000
-2.4536 -4.1088 -2.8705
```

Space group   No. 127
Formation enthalpy at 0 K   0.097 eV/atom
Total magnetic moment   0.0 μB per cell
Energy above the lowest structure with this stoichiometry   55 meV per atom
DOS(E_F)   4.45 states/eV/cell

***

Please write out number 1 again, unchanged.
ZrZn2Hg2 | PBE | optimized geometry

POSCAR file:
```
ZrZn2Hg2
1.0
-1.5540 -1.3257 -7.6230
-3.3531 -6.8918 1.8821
-2.8233 1.4614 0.3214
Zn Hg Zr
4 4 2
Cartesian
-3.9228 -4.1129 0.1253
-5.2358 -5.8773 -3.3853
-3.8076 -2.6433 -5.5449
-2.4946 -0.8789 -2.0342
-3.4751 -6.4577 -1.1630
-3.4707 -5.5147 -5.4131
-1.4320 -1.7598 -4.5779
-1.4364 -2.7029 -0.3278
0.0000 0.0000 0.0000
-2.4536 -4.1088 -2.8705
```

Space group   No. 127
Formation enthalpy at 0 K   0.097 eV/atom
Total magnetic moment   0.0 μB per cell
Energy above the lowest structure with this stoichiometry   55 meV per atom
DOS(E_F)   4.45 states/eV/cell

***

Q: Number 2 is which compound?
A: ZrZnHg2